Density functional theory data (PBE-GGA) for a relaxed structure of TbCePdRu.

Summary:
uncorrected energy: -27.15 eV/cell
E_form: -529 meV per atom
crystal system: cubic

CIF file:
```
data_TbCePdRu
_cell_length_a 4.937
_cell_length_b 4.937
_cell_length_c 4.937
_cell_angle_alpha 60.00
_cell_angle_beta 60.00
_cell_angle_gamma 60.00
_space_group_name_H-M_alt 'P 1'
_space_group_IT_number 1
_space_group_name_Hall 'P 1'
loop_
_atom_site_label
_atom_site_type_symbol
_atom_site_fract_x
_atom_site_fract_y
_atom_site_fract_z
_atom_site_occupancy
Tb1 Tb 0.000 0.000 0.000 1
Ce1 Ce 0.500 0.500 0.500 1
Pd1 Pd 0.750 0.750 0.750 1
Ru1 Ru 0.250 0.250 0.250 1
```



Density functional theory data (PBE-GGA) for a relaxed structure of CeTlPdRu.

Summary:
uncorrected energy: -23.77 eV/cell
E_form: -249 meV per atom
crystal system: cubic

CIF file:
```
data_CeTlPdRu
_cell_length_a 4.834
_cell_length_b 4.834
_cell_length_c 4.834
_cell_angle_alpha 60.00
_cell_angle_beta 60.00
_cell_angle_gamma 60.00
_space_group_name_H-M_alt 'P 1'
_space_group_IT_number 1
_space_group_name_Hall 'P 1'
loop_
_atom_site_label
_atom_site_type_symbol
_atom_site_fract_x
_atom_site_fract_y
_atom_site_fract_z
_atom_site_occupancy
Ce1 Ce 0.000 0.000 0.000 1
Tl1 Tl 0.500 0.500 0.500 1
Pd1 Pd 0.250 0.250 0.250 1
Ru1 Ru 0.750 0.750 0.750 1
```



Density functional theory data (PBE-GGA) for a relaxed structure of CeUPdRu.

Summary:
uncorrected energy: -33.02 eV/cell
E_form: -332 meV per atom
crystal system: cubic

CIF file:
```
data_CeUPdRu
_cell_length_a 4.686
_cell_length_b 4.686
_cell_length_c 4.686
_cell_angle_alpha 60.00
_cell_angle_beta 60.00
_cell_angle_gamma 60.00
_space_group_name_H-M_alt 'P 1'
_space_group_IT_number 1
_space_group_name_Hall 'P 1'
loop_
_atom_site_label
_atom_site_type_symbol
_atom_site_fract_x
_atom_site_fract_y
_atom_site_fract_z
_atom_site_occupancy
Ce1 Ce 0.000 0.000 0.000 1
U1 U 0.250 0.250 0.250 1
Pd1 Pd 0.750 0.750 0.750 1
Ru1 Ru 0.500 0.500 0.500 1
```



Density functional theory data (PBE-GGA) for a relaxed structure of CeYPdRu.

Summary:
uncorrected energy: -28.98 eV/cell
E_form: -528 meV per atom
crystal system: cubic

CIF file:
```
data_CeYPdRu
_cell_length_a 4.936
_cell_length_b 4.936
_cell_length_c 4.936
_cell_angle_alpha 60.00
_cell_angle_beta 60.00
_cell_angle_gamma 60.00
_space_group_name_H-M_alt 'P 1'
_space_group_IT_number 1
_space_group_name_Hall 'P 1'
loop_
_atom_site_label
_atom_site_type_symbol
_atom_site_fract_x
_atom_site_fract_y
_atom_site_fract_z
_atom_site_occupancy
Ce1 Ce 0.000 0.000 0.000 1
Y1 Y 0.500 0.500 0.500 1
Pd1 Pd 0.750 0.750 0.750 1
Ru1 Ru 0.250 0.250 0.250 1
```



Density functional theory data (PBE-GGA) for a relaxed structure of Ce3Pd5S12.

Summary:
uncorrected energy: -439.75 eV/cell
energy relative to the elements, uncorrected: -80.3 kJ per mole of atoms
crystal system: cubic

CIF file:
```
data_Ce3Pd5S12
_cell_length_a 13.011
_cell_length_b 13.011
_cell_length_c 13.011
_cell_angle_alpha 109.47
_cell_angle_beta 109.47
_cell_angle_gamma 109.47
_space_group_name_H-M_alt 'P 1'
_space_group_IT_number 1
_space_group_name_Hall 'P 1'
loop_
_atom_site_label
_atom_site_type_symbol
_atom_site_fract_x
_atom_site_fract_y
_atom_site_fract_z
_atom_site_occupancy
Ce1 Ce 0.125 0.250 0.375 1
Ce2 Ce 0.125 0.375 0.750 1
Ce3 Ce 0.250 0.375 0.125 1
Ce4 Ce 0.250 0.875 0.625 1
Ce5 Ce 0.375 0.125 0.250 1
Ce6 Ce 0.375 0.750 0.125 1
Ce7 Ce 0.625 0.250 0.875 1
Ce8 Ce 0.625 0.875 0.750 1
Ce9 Ce 0.750 0.125 0.375 1
Ce10 Ce 0.750 0.625 0.875 1
Ce11 Ce 0.875 0.625 0.250 1
Ce12 Ce 0.875 0.750 0.625 1
Pd1 Pd 0.000 0.000 0.000 1
Pd2 Pd 0.000 0.000 0.500 1
Pd3 Pd 0.000 0.500 0.000 1
Pd4 Pd 0.000 0.500 0.500 1
Pd5 Pd 0.125 0.750 0.875 1
Pd6 Pd 0.125 0.875 0.250 1
Pd7 Pd 0.250 0.125 0.875 1
Pd8 Pd 0.250 0.625 0.375 1
Pd9 Pd 0.375 0.250 0.625 1
Pd10 Pd 0.375 0.625 0.750 1
Pd11 Pd 0.500 0.000 0.000 1
Pd12 Pd 0.500 0.000 0.500 1
Pd13 Pd 0.500 0.500 0.000 1
Pd14 Pd 0.500 0.500 0.500 1
Pd15 Pd 0.625 0.375 0.250 1
Pd16 Pd 0.625 0.750 0.375 1
Pd17 Pd 0.750 0.375 0.625 1
Pd18 Pd 0.750 0.875 0.125 1
Pd19 Pd 0.875 0.125 0.750 1
Pd20 Pd 0.875 0.250 0.125 1
S1 S 0.037 0.208 0.125 1
S2 S 0.037 0.329 0.912 1
S3 S 0.083 0.708 0.671 1
S4 S 0.083 0.875 0.412 1
S5 S 0.088 0.625 0.417 1
S6 S 0.088 0.963 0.671 1
S7 S 0.125 0.037 0.208 1
S8 S 0.125 0.588 0.917 1
S9 S 0.171 0.208 0.583 1
S10 S 0.171 0.463 0.588 1
S11 S 0.208 0.125 0.037 1
S12 S 0.208 0.583 0.171 1
S13 S 0.292 0.329 0.917 1
S14 S 0.292 0.463 0.375 1
S15 S 0.329 0.912 0.037 1
S16 S 0.329 0.917 0.292 1
S17 S 0.375 0.292 0.463 1
S18 S 0.375 0.583 0.912 1
S19 S 0.412 0.083 0.875 1
S20 S 0.412 0.829 0.537 1
S21 S 0.417 0.088 0.625 1
S22 S 0.417 0.829 0.792 1
S23 S 0.463 0.375 0.292 1
S24 S 0.463 0.588 0.171 1
S25 S 0.537 0.412 0.829 1
S26 S 0.537 0.625 0.708 1
S27 S 0.583 0.171 0.208 1
S28 S 0.583 0.912 0.375 1
S29 S 0.588 0.171 0.463 1
S30 S 0.588 0.917 0.125 1
S31 S 0.625 0.417 0.088 1
S32 S 0.625 0.708 0.537 1
S33 S 0.671 0.083 0.708 1
S34 S 0.671 0.088 0.963 1
S35 S 0.708 0.537 0.625 1
S36 S 0.708 0.671 0.083 1
S37 S 0.792 0.417 0.829 1
S38 S 0.792 0.875 0.963 1
S39 S 0.829 0.537 0.412 1
S40 S 0.829 0.792 0.417 1
S41 S 0.875 0.412 0.083 1
S42 S 0.875 0.963 0.792 1
S43 S 0.912 0.037 0.329 1
S44 S 0.912 0.375 0.583 1
S45 S 0.917 0.125 0.588 1
S46 S 0.917 0.292 0.329 1
S47 S 0.963 0.671 0.088 1
S48 S 0.963 0.792 0.875 1
```



Density functional theory data (PBE-GGA) for a relaxed structure of CePdS2.

Summary:
uncorrected energy: -99.19 eV/cell
energy relative to the elements, uncorrected: -130.6 kJ per mole of atoms
ΔE to the lowest computed polymorph: 47 meV per atom
crystal system: orthorhombic

CIF file:
```
data_CePdS2
_cell_length_a 7.082
_cell_length_b 3.871
_cell_length_c 12.115
_cell_angle_alpha 90.00
_cell_angle_beta 90.00
_cell_angle_gamma 90.00
_space_group_name_H-M_alt 'P 1'
_space_group_IT_number 1
_space_group_name_Hall 'P 1'
loop_
_atom_site_label
_atom_site_type_symbol
_atom_site_fract_x
_atom_site_fract_y
_atom_site_fract_z
_atom_site_occupancy
Ce1 Ce 0.127 0.250 0.146 1
Ce2 Ce 0.373 0.750 0.646 1
Ce3 Ce 0.627 0.250 0.354 1
Ce4 Ce 0.873 0.750 0.854 1
Pd1 Pd 0.231 0.750 0.379 1
Pd2 Pd 0.269 0.250 0.879 1
Pd3 Pd 0.731 0.750 0.121 1
Pd4 Pd 0.769 0.250 0.621 1
S1 S 0.068 0.250 0.719 1
S2 S 0.202 0.750 0.986 1
S3 S 0.298 0.250 0.486 1
S4 S 0.432 0.750 0.219 1
S5 S 0.568 0.250 0.781 1
S6 S 0.702 0.750 0.514 1
S7 S 0.798 0.250 0.014 1
S8 S 0.932 0.750 0.281 1
```



Density functional theory data (PBE-GGA) for a relaxed structure of Ce2PdS3.

Summary:
uncorrected energy: -157.66 eV/cell
energy relative to the elements, uncorrected: -160.4 kJ per mole of atoms
crystal system: orthorhombic

CIF file:
```
data_Ce2PdS3
_cell_length_a 8.093
_cell_length_b 3.974
_cell_length_c 15.750
_cell_angle_alpha 90.00
_cell_angle_beta 90.00
_cell_angle_gamma 90.00
_space_group_name_H-M_alt 'P 1'
_space_group_IT_number 1
_space_group_name_Hall 'P 1'
loop_
_atom_site_label
_atom_site_type_symbol
_atom_site_fract_x
_atom_site_fract_y
_atom_site_fract_z
_atom_site_occupancy
Ce1 Ce 0.078 0.250 0.221 1
Ce2 Ce 0.244 0.750 0.470 1
Ce3 Ce 0.256 0.250 0.970 1
Ce4 Ce 0.422 0.750 0.721 1
Ce5 Ce 0.578 0.250 0.279 1
Ce6 Ce 0.744 0.750 0.030 1
Ce7 Ce 0.756 0.250 0.530 1
Ce8 Ce 0.922 0.750 0.779 1
Pd1 Pd 0.121 0.250 0.633 1
Pd2 Pd 0.379 0.750 0.133 1
Pd3 Pd 0.621 0.250 0.867 1
Pd4 Pd 0.879 0.750 0.367 1
S1 S 0.032 0.250 0.404 1
S2 S 0.102 0.750 0.075 1
S3 S 0.190 0.250 0.784 1
S4 S 0.310 0.750 0.284 1
S5 S 0.398 0.250 0.575 1
S6 S 0.468 0.750 0.904 1
S7 S 0.532 0.250 0.096 1
S8 S 0.602 0.750 0.425 1
S9 S 0.690 0.250 0.716 1
S10 S 0.810 0.750 0.216 1
S11 S 0.898 0.250 0.925 1
S12 S 0.968 0.750 0.596 1
```



Density functional theory data (PBE-GGA) for a relaxed structure of Ce4PdS7.

Summary:
uncorrected energy: -78.31 eV/cell
energy relative to the elements, uncorrected: -164.8 kJ per mole of atoms
crystal system: monoclinic

CIF file:
```
data_Ce4PdS7
_cell_length_a 7.799
_cell_length_b 7.799
_cell_length_c 10.272
_cell_angle_alpha 128.44
_cell_angle_beta 128.44
_cell_angle_gamma 35.65
_space_group_name_H-M_alt 'P 1'
_space_group_IT_number 1
_space_group_name_Hall 'P 1'
loop_
_atom_site_label
_atom_site_type_symbol
_atom_site_fract_x
_atom_site_fract_y
_atom_site_fract_z
_atom_site_occupancy
Ce1 Ce 0.081 0.081 0.285 1
Ce2 Ce 0.227 0.227 0.831 1
Ce3 Ce 0.773 0.773 0.169 1
Ce4 Ce 0.919 0.919 0.715 1
Pd1 Pd 0.500 0.500 0.500 1
S1 S 0.000 0.000 0.500 1
S2 S 0.139 0.139 0.065 1
S3 S 0.294 0.294 0.640 1
S4 S 0.418 0.418 0.208 1
S5 S 0.582 0.582 0.792 1
S6 S 0.706 0.706 0.360 1
S7 S 0.861 0.861 0.935 1
```